Below is CrWSO2 after structural relaxation, with properties calculated at the GGA+U level.

```
5
Lattice="3.914 0.000 0.000 0.000 5.201 0.000 0.000 0.000 3.914" Properties=species:S:1:pos:R:3 pbc="T T T"
W 0.000 0.000 0.000
O 0.000 0.000 1.957
O 1.957 0.000 0.000
Cr 1.957 2.601 1.957
S 0.000 2.601 0.000
```

## Properties
density	6.251	Mg/m³
final energy	-6.830	eV per atom